Entry 1:
Compound: HfBeCo
Source: Alexandria via LeMat-Bulk
Functional: PBE
Structure: optimized geometry

Summary:
DOS(E_F) ... 0.623 states/eV/atom
Distance to the lowest polymorph of the same formula ... 184 meV per atom
Formation energy from the elements ... -0.191 eV per atom

Geometry as extended XYZ:
```
6
Lattice="-3.0496 -0.6923 0.8984 -0.7165 -1.4295 -3.5335 3.4193 -5.4531 1.5128" Properties=species:S:1:pos:R:3 pbc="T T T"
Co -1.2146 -2.2015 0.0727
Co 0.8677 -5.3734 -1.1949
Hf -0.1550 -5.4450 1.1700
Hf -0.1918 -2.1299 -2.2922
Be 0.7592 -3.2299 0.0885
Be -1.1061 -4.3451 -1.2107
```



Entry 2:
Compound: Pu2BIr3
Source: Alexandria via LeMat-Bulk
Functional: PBE
Structure: optimized geometry

Summary:
DOS(E_F) ... 2.268 states/eV/atom
Formation energy from the elements ... -0.401 eV per atom

Geometry as extended XYZ:
```
6
Lattice="4.5051 -0.0924 1.9650 1.2511 4.3289 1.9650 -0.1256 -0.0924 4.9134" Properties=species:S:1:pos:R:3 pbc="T T T"
Pu 2.1225 1.5621 3.3335
Pu 3.5082 2.5820 5.5099
B 0.0000 0.0000 0.0000
Ir -0.0628 -0.0462 2.4567
Ir 2.2526 -0.0462 0.9825
Ir 0.6256 2.1645 0.9825
```



Q: Among the records above, which one has the lowest formation energy from the elements?
A: Pu2BIr3



Q: Which of these has the highest DOS(E_F)?
A: Pu2BIr3